1.
# AlNi4

An optimized crystal structure of AlNi4 (GGA-PBE, the Alexandria database).

Geometry as extended XYZ:
```
10
Lattice="4.515 0.000 0.000 0.000 4.098 0.000 -2.905 0.000 6.101" Properties=species:S:1:pos:R:3 pbc="T T T"
Al 0.000 0.000 0.000
Al -1.452 2.049 3.051
Ni -0.245 0.004 2.440
Ni -1.697 2.045 5.490
Ni 0.959 2.055 1.834
Ni -0.494 4.093 4.884
Ni 2.104 0.005 1.217
Ni 0.651 2.044 4.268
Ni 3.307 2.053 0.611
Ni 1.855 4.095 3.661
```

Values from the calculation:
Crystal system: monoclinic
Formation enthalpy at 0 K (eV/atom): -0.27
Size of the total moment (Bohr magnetons per cell): 0.0



2.
# ScTa2Sb

An optimized crystal structure of ScTa2Sb (GGA-PBE, the Alexandria database).

Geometry as extended XYZ:
```
12
Lattice="3.150 0.000 0.000 -1.575 2.728 0.000 0.000 0.000 28.737" Properties=species:S:1:pos:R:3 pbc="T T T"
Sc 0.000 0.000 0.000
Sc 0.000 1.818 19.158
Sc 1.575 0.909 9.579
Ta 0.000 0.000 7.095
Ta 0.000 0.000 21.642
Ta 0.000 1.818 12.063
Ta 0.000 1.818 26.253
Ta 1.575 0.909 2.484
Ta 1.575 0.909 16.674
Sb 0.000 0.000 14.368
Sb 0.000 1.818 4.789
Sb 1.575 0.909 23.947
```

Values from the calculation:
Crystal system: trigonal
Size of the total moment (Bohr magnetons per cell): 0.0
Formation energy from raw total energies (eV per formula unit): 1.14



3.
# Ac7ThRu3

An optimized crystal structure of Ac7ThRu3 (GGA-PBE, the Alexandria database).

Geometry as extended XYZ:
```
11
Lattice="6.846 -4.220 0.000 6.846 4.220 0.000 -6.795 0.000 7.275" Properties=species:S:1:pos:R:3 pbc="T T T"
Ac 0.000 0.000 0.000
Ac 3.381 2.167 6.025
Ac 3.312 0.000 2.391
Ac 6.817 2.075 3.589
Ac 0.113 0.000 7.247
Ac 3.381 -2.167 6.025
Ac 6.817 -2.075 3.589
Th 9.869 0.000 2.420
Ru 8.560 2.069 1.216
Ru 8.542 0.000 4.781
Ru 8.560 -2.069 1.216
```

Values from the calculation:
Crystal system: monoclinic
Formation enthalpy at 0 K (eV/atom): -0.19
Size of the total moment (Bohr magnetons per cell): 0.0



4.
# Pr2GdTe

An optimized crystal structure of Pr2GdTe (GGA-PBE, the Alexandria database).

Geometry as extended XYZ:
```
4
Lattice="4.034 0.000 0.000 0.000 4.034 0.000 0.000 0.000 7.924" Properties=species:S:1:pos:R:3 pbc="T T T"
Pr 0.000 0.000 1.772
Pr 0.000 0.000 6.152
Gd 2.017 2.017 3.962
Te 2.017 2.017 0.000
```

Values from the calculation:
Crystal system: tetragonal
Size of the total moment (Bohr magnetons per cell): 8.1
Formation energy from raw total energies (eV per formula unit): -2.39



5.
# Rb2Rh3F8

An optimized crystal structure of Rb2Rh3F8 (GGA-PBE, the Alexandria database).

Geometry as extended XYZ:
```
13
Lattice="7.003 -2.850 0.000 7.003 2.850 0.000 -3.094 0.000 5.958" Properties=species:S:1:pos:R:3 pbc="T T T"
Rb 2.329 0.000 0.882
Rb 8.583 0.000 5.076
Rh 5.456 1.161 2.979
Rh 7.003 0.000 0.000
Rh 5.456 -1.161 2.979
F -0.588 0.000 3.959
F 3.984 1.331 4.426
F 6.927 1.331 1.533
F 1.899 0.000 5.854
F 9.012 0.000 0.104
F 3.984 -1.331 4.426
F 6.927 -1.331 1.533
F 11.500 0.000 1.999
```

Values from the calculation:
Crystal system: monoclinic
Size of the total moment (Bohr magnetons per cell): 1.0
Formation energy from raw total energies (eV per formula unit): -21.52



6.
# Pr2Y6Er3Th

An optimized crystal structure of Pr2Y6Er3Th (GGA-PBE, the Alexandria database).

Geometry as extended XYZ:
```
12
Lattice="3.111 -5.382 0.000 3.111 5.382 0.000 -2.070 0.000 11.649" Properties=species:S:1:pos:R:3 pbc="T T T"
Pr 3.111 3.590 0.000
Pr 3.111 -3.590 0.000
Y 0.009 1.774 8.709
Y 1.067 0.000 2.942
Y 0.009 -1.774 8.709
Y 4.142 1.774 2.940
Y 3.084 0.000 8.707
Y 4.142 -1.774 2.940
Er -1.035 0.000 5.824
Er 2.076 1.798 5.824
Er 2.076 -1.798 5.824
Th 3.111 0.000 0.000
```

Values from the calculation:
Crystal system: monoclinic
Formation enthalpy at 0 K (eV/atom): 0.04
Size of the total moment (Bohr magnetons per cell): 0.0



7.
# CrMoP2

An optimized crystal structure of CrMoP2 (GGA-PBE, the Alexandria database).

Geometry as extended XYZ:
```
4
Lattice="3.089 0.000 0.000 0.000 3.089 0.000 0.000 0.000 5.399" Properties=species:S:1:pos:R:3 pbc="T T T"
Cr 0.000 0.000 0.000
Mo 1.544 1.544 1.881
P 0.000 0.000 2.969
P 1.544 1.544 4.510
```

Values from the calculation:
Crystal system: tetragonal
Formation enthalpy at 0 K (eV/atom): -0.40
Size of the total moment (Bohr magnetons per cell): 0.0



8.
# Re2SiP

An optimized crystal structure of Re2SiP (GGA-PBE, the Alexandria database).

Geometry as extended XYZ:
```
8
Lattice="7.892 0.000 0.000 0.000 2.868 0.000 -1.012 0.000 4.895" Properties=species:S:1:pos:R:3 pbc="T T T"
Re 1.660 0.000 1.268
Re 1.274 1.434 3.627
Re 5.606 1.434 1.268
Re 5.220 0.000 3.627
Si 0.000 1.434 0.000
Si 3.946 0.000 0.000
P -0.506 0.000 2.448
P 3.440 1.434 2.448
```

Values from the calculation:
Crystal system: monoclinic
Size of the total moment (Bohr magnetons per cell): 0.0
Formation energy from raw total energies (eV per formula unit): 0.17